No. 1
Below is crystalline Cs3Cd2Ag5 at its relaxed geometry, with properties calculated at the PBE level.

Output
**Final energy**: -34.70 eV for the cell shown
**M_tot**: 0.00 μB/f.u.
**Formation enthalpy at 0 K**: 3.00 kcal/mol of atoms

Lattice parameters (Å, degrees): 7.2361 10.3602 10.3602 69.57 69.56 69.56
Fractional positions:
Cs: 0.8882 0.8365 0.3872
Cs: 0.2500 0.0000 0.0000
Cs: 0.6118 0.6128 0.1635
Cs: 0.3882 0.3872 0.8365
Cs: 0.7500 0.0000 0.0000
Cs: 0.1118 0.1635 0.6128
Ag: 0.8730 0.5311 0.7230
Ag: 0.7500 0.5000 0.5000
Ag: 0.0034 0.2466 0.2466
Ag: 0.9966 0.7534 0.7534
Ag: 0.6270 0.2770 0.4689
Ag: 0.4966 0.7534 0.7534
Ag: 0.3730 0.7230 0.5311
Ag: 0.1270 0.4689 0.2770
Ag: 0.5034 0.2466 0.2466
Ag: 0.2500 0.5000 0.5000
Cd: 0.3365 0.9970 0.3300
Cd: 0.6635 0.0030 0.6700
Cd: 0.1635 0.6700 0.0030
Cd: 0.8365 0.3300 0.9970

***

No. 2
Below is crystalline Cs2Cd5Ag3 at its relaxed geometry, with properties calculated at the PBE level.

Output
**Final energy**: -29.77 eV for the cell shown
**M_tot**: 0.00 μB/f.u.
**Formation enthalpy at 0 K**: -0.12 kcal/mol of atoms

Lattice parameters (Å, degrees): 10.0375 10.0375 7.1119 69.28 69.28 72.28
Fractional positions:
Cd: 0.2764 0.2726 0.4757
Cd: 0.9854 0.7580 0.6286
Cd: 0.4987 0.5013 0.2500
Cd: 0.7236 0.7274 0.5243
Cd: 0.5013 0.4987 0.7500
Cd: 0.7580 0.9854 0.1286
Cd: 0.0146 0.2420 0.3714
Cd: 0.7274 0.7236 0.0243
Cd: 0.2726 0.2764 0.9757
Cd: 0.2420 0.0146 0.8714
Ag: 0.7566 0.4745 0.3851
Ag: 0.5255 0.2434 0.1149
Ag: 0.0017 0.9983 0.2500
Ag: 0.9983 0.0017 0.7500
Ag: 0.2434 0.5255 0.6149
Ag: 0.4745 0.7566 0.8851
Cs: 0.8896 0.3615 0.8745
Cs: 0.1104 0.6385 0.1255
Cs: 0.6385 0.1104 0.6255
Cs: 0.3615 0.8896 0.3745

***

Q: Which formula does entry 1 have?
A: Cs3Cd2Ag5